[1]
Crystalline YCu2Cl at its relaxed geometry, computed with PBE.

a b c (Å): 3.524 3.497 6.929
angles (deg): 90.00 90.85 90.00
Fractional coordinates of all 4 atoms:
Y  0.000  0.000  0.000
Cu  0.490  0.000  0.677
Cu  0.990  0.500  0.676
Cl  0.506  0.500  0.200

E_form (uncorrected) = -0.47 eV/atom
space-group type = Pm (6)
energy above the most stable polymorph in this dataset = 0.075 eV per atom

=====

[2]
Crystalline YCuCl at its relaxed geometry, computed with PBE.

a b c (Å): 3.379 3.379 13.160
angles (deg): 90.00 90.00 90.00
Fractional coordinates of all 6 atoms:
Y  0.000  0.000  0.000
Y  0.500  0.500  0.500
Cu  0.000  0.000  0.369
Cu  0.500  0.500  0.869
Cl  0.000  0.000  0.625
Cl  0.500  0.500  0.125

E_form (uncorrected) = -0.64 eV/atom
space-group type = I4mm (107)

=====

[3]
Crystalline YCuCl at its relaxed geometry, computed with PBE.

a b c (Å): 6.277 6.277 6.277
angles (deg): 47.70 47.70 47.70
Fractional coordinates of all 6 atoms:
Y  0.000  0.000  0.000
Y  0.500  0.500  0.500
Cu  0.168  0.168  0.168
Cu  0.832  0.832  0.832
Cl  0.340  0.340  0.340
Cl  0.660  0.660  0.660

E_form (uncorrected) = -0.86 eV/atom
space-group type = R-3m (166)

=====

[4]
Crystalline Y4CuCl at its relaxed geometry, computed with PBE.

a b c (Å): 6.397 6.397 6.397
angles (deg): 60.00 60.00 60.00
Fractional coordinates of all 6 atoms:
Y  0.376  0.376  0.376
Y  0.376  0.376  0.871
Y  0.376  0.871  0.376
Y  0.871  0.376  0.376
Cu  0.750  0.750  0.750
Cl  0.000  0.000  0.000

E_form (uncorrected) = 0.54 eV/atom
space-group type = F-43m (216)

=====

[5]
Crystalline YCuCl2 at its relaxed geometry, computed with PBE.

a b c (Å): 3.909 3.909 23.588
angles (deg): 90.00 90.00 120.00
Fractional coordinates of all 12 atoms:
Y  0.000  0.000  0.000
Y  0.333  0.667  0.667
Y  0.667  0.333  0.333
Cu  0.000  0.000  0.737
Cu  0.333  0.667  0.403
Cu  0.667  0.333  0.070
Cl  0.000  0.000  0.263
Cl  0.000  0.000  0.450
Cl  0.333  0.667  0.117
Cl  0.333  0.667  0.930
Cl  0.667  0.333  0.597
Cl  0.667  0.333  0.784

E_form (uncorrected) = -1.09 eV/atom
space-group type = R3m (160)
energy above the most stable polymorph in this dataset = 0.022 eV per atom

=====

[6]
Crystalline YCu2Cl at its relaxed geometry, computed with PBE.

a b c (Å): 7.828 7.828 5.208
angles (deg): 90.00 90.00 90.00
Fractional coordinates of all 16 atoms:
Y  0.000  0.000  0.000
Y  0.000  0.500  0.250
Y  0.500  0.000  0.750
Y  0.500  0.500  0.500
Cu  0.232  0.250  0.625
Cu  0.250  0.732  0.875
Cu  0.250  0.768  0.375
Cu  0.268  0.250  0.125
Cu  0.732  0.750  0.125
Cu  0.750  0.232  0.375
Cu  0.750  0.268  0.875
Cu  0.768  0.750  0.625
Cl  0.000  0.000  0.500
Cl  0.000  0.500  0.750
Cl  0.500  0.000  0.250
Cl  0.500  0.500  0.000

E_form (uncorrected) = -0.32 eV/atom
space-group type = I-42d (122)
energy above the most stable polymorph in this dataset = 0.223 eV per atom

=====

[7]
Crystalline YCuCl2 at its relaxed geometry, computed with PBE.

a b c (Å): 6.815 6.815 6.815
angles (deg): 90.00 90.00 90.00
Fractional coordinates of all 16 atoms:
Y  0.000  0.000  0.000
Y  0.000  0.500  0.500
Y  0.500  0.000  0.500
Y  0.500  0.500  0.000
Cu  0.000  0.000  0.500
Cu  0.000  0.500  0.000
Cu  0.500  0.000  0.000
Cu  0.500  0.500  0.500
Cl  0.250  0.250  0.250
Cl  0.250  0.250  0.750
Cl  0.250  0.750  0.250
Cl  0.250  0.750  0.750
Cl  0.750  0.250  0.250
Cl  0.750  0.250  0.750
Cl  0.750  0.750  0.250
Cl  0.750  0.750  0.750

E_form (uncorrected) = -0.81 eV/atom
space-group type = Fm-3m (225)
energy above the most stable polymorph in this dataset = 0.295 eV per atom

=====

[8]
Crystalline YCuCl6 at its relaxed geometry, computed with PBE.

a b c (Å): 5.522 6.764 7.168
angles (deg): 68.00 73.07 87.40
Fractional coordinates of all 8 atoms:
Y  0.000  0.000  0.000
Cu  0.500  0.500  0.000
Cl  0.011  0.802  0.377
Cl  0.284  0.380  0.840
Cl  0.420  0.829  0.823
Cl  0.580  0.171  0.177
Cl  0.716  0.620  0.160
Cl  0.989  0.198  0.623

E_form (uncorrected) = -1.19 eV/atom
space-group type = P-1 (2)

=====

[9]
Crystalline YCu2Cl at its relaxed geometry, computed with PBE.

a b c (Å): 4.811 4.825 6.606
angles (deg): 90.00 90.00 90.00
Fractional coordinates of all 8 atoms:
Y  0.000  0.000  0.000
Y  0.500  0.500  0.000
Cu  0.000  0.500  0.263
Cu  0.000  0.500  0.737
Cu  0.500  0.000  0.263
Cu  0.500  0.000  0.737
Cl  0.000  0.000  0.500
Cl  0.500  0.500  0.500

E_form (uncorrected) = -0.16 eV/atom
space-group type = Cmmm (65)
energy above the most stable polymorph in this dataset = 0.387 eV per atom

=====

[10]
Crystalline YCuCl2 at its relaxed geometry, computed with PBE.

a b c (Å): 4.282 4.282 8.751
angles (deg): 90.00 90.00 90.00
Fractional coordinates of all 8 atoms:
Y  0.000  0.000  0.000
Y  0.500  0.500  0.500
Cu  0.000  0.500  0.250
Cu  0.500  0.000  0.750
Cl  0.000  0.000  0.500
Cl  0.000  0.500  0.750
Cl  0.500  0.000  0.250
Cl  0.500  0.500  0.000

E_form (uncorrected) = -0.78 eV/atom
space-group type = I-4m2 (119)
energy above the most stable polymorph in this dataset = 0.331 eV per atom

=====

[11]
Crystalline YCuCl at its relaxed geometry, computed with PBE.

a b c (Å): 10.861 10.861 10.861
angles (deg): 21.34 21.34 21.34
Fractional coordinates of all 6 atoms:
Y  0.060  0.060  0.060
Y  0.940  0.940  0.940
Cu  0.335  0.335  0.335
Cu  0.665  0.665  0.665
Cl  0.221  0.221  0.221
Cl  0.779  0.779  0.779

E_form (uncorrected) = -1.11 eV/atom
space-group type = R-3m (166)

=====

[12]
Crystalline YCu2Cl at its relaxed geometry, computed with PBE.

a b c (Å): 4.209 5.017 7.149
angles (deg): 90.00 90.00 90.00
Fractional coordinates of all 8 atoms:
Y  0.000  0.000  0.000
Y  0.500  0.500  0.500
Cu  0.000  0.000  0.541
Cu  0.000  0.500  0.234
Cu  0.500  0.000  0.734
Cu  0.500  0.500  0.041
Cl  0.000  0.500  0.779
Cl  0.500  0.000  0.279

E_form (uncorrected) = -0.29 eV/atom
space-group type = Imm2 (44)
energy above the most stable polymorph in this dataset = 0.254 eV per atom